1.
Material: BaZnAu
Method: DFT, GGA-PBEsol
State: optimized geometry

Properties
ΔE_f ... -0.15 eV per atom
Electronic total energy ... -2.703 eV/atom
Total magnetic moment ... 0.0 Bohr magnetons per cell
Fermi-level density of states ... 8.08 states/eV per cell

Structure (CIF):
```
data_BaZnAu
_chemical_formula_sum 'Ba4 Zn4 Au4'
_cell_length_a 7.006
_cell_length_b 7.006
_cell_length_c 7.006
_cell_angle_alpha 90.00
_cell_angle_beta 90.00
_cell_angle_gamma 90.00
_space_group_name_H-M_alt 'F -4 3 m'
_space_group_IT_number 216
_space_group_name_Hall 'F -4 2 3'
loop_
_atom_site_label
_atom_site_type_symbol
_atom_site_fract_x
_atom_site_fract_y
_atom_site_fract_z
_atom_site_occupancy
Ba1 Ba 0.000 0.000 0.000 1
Zn1 Zn 0.250 0.250 0.750 1
Au1 Au 0.000 0.000 0.500 1
```

---

2.
Material: BaZn2Au
Method: DFT, GGA-PBEsol
State: optimized geometry

Properties
ΔE_f ... -0.36 eV per atom
Electronic total energy ... -2.669 eV/atom
Total magnetic moment ... 0.0 Bohr magnetons per cell
Fermi-level density of states ... 8.17 states/eV per cell

Structure (CIF):
```
data_BaZn2Au
_chemical_formula_sum 'Ba3 Zn6 Au3'
_cell_length_a 4.4616
_cell_length_b 4.4616
_cell_length_c 16.8279
_cell_angle_alpha 90.00
_cell_angle_beta 90.00
_cell_angle_gamma 120.00
_space_group_name_H-M_alt 'R -3 m'
_space_group_IT_number 166
_space_group_name_Hall '-R 3 2"'
loop_
_atom_site_label
_atom_site_type_symbol
_atom_site_fract_x
_atom_site_fract_y
_atom_site_fract_z
_atom_site_occupancy
Ba1 Ba 0.0000 0.0000 0.0000 1
Zn1 Zn 0.0000 0.0000 0.1953 1
Au1 Au 0.0000 0.0000 0.5000 1
```

---

3.
Material: BaZnAu
Method: DFT, GGA-PBEsol
State: optimized geometry

Properties
ΔE_f ... -0.49 eV per atom
Electronic total energy ... -3.044 eV/atom
Total magnetic moment ... 0.0 Bohr magnetons per cell
Fermi-level density of states ... 2.29 states/eV per cell

Structure (CIF):
```
data_BaZnAu
_chemical_formula_sum 'Ba1 Zn1 Au1'
_cell_length_a 4.5706
_cell_length_b 4.5706
_cell_length_c 4.4618
_cell_angle_alpha 90.00
_cell_angle_beta 90.00
_cell_angle_gamma 120.00
_space_group_name_H-M_alt 'P -6 m 2'
_space_group_IT_number 187
_space_group_name_Hall 'P -6 2'
loop_
_atom_site_label
_atom_site_type_symbol
_atom_site_fract_x
_atom_site_fract_y
_atom_site_fract_z
_atom_site_occupancy
Ba1 Ba 0.0000 0.0000 0.0000 1
Zn1 Zn 0.3333 0.6667 0.5000 1
Au1 Au 0.6667 0.3333 0.5000 1
```

---

4.
Material: BaZnAu2
Method: DFT, GGA-PBEsol
State: optimized geometry

Properties
ΔE_f ... -0.32 eV per atom
Electronic total energy ... -3.217 eV/atom
Total magnetic moment ... 0.0 Bohr magnetons per cell
Fermi-level density of states ... 1.51 states/eV per cell

Structure (CIF):
```
data_BaZnAu2
_chemical_formula_sum 'Ba1 Zn1 Au2'
_cell_length_a 3.546
_cell_length_b 3.546
_cell_length_c 7.140
_cell_angle_alpha 90.00
_cell_angle_beta 90.00
_cell_angle_gamma 90.00
_space_group_name_H-M_alt 'P 4/m m m'
_space_group_IT_number 123
_space_group_name_Hall '-P 4 2'
loop_
_atom_site_label
_atom_site_type_symbol
_atom_site_fract_x
_atom_site_fract_y
_atom_site_fract_z
_atom_site_occupancy
Ba1 Ba 0.000 0.000 0.000 1
Zn1 Zn 0.000 0.000 0.500 1
Au1 Au 0.500 0.500 0.310 1
```